[1]
{"formula": "ZnIrC2O", "functional": "GGA-PBE", "state": "optimized geometry", "magnetic_moment_mub_per_cell": 0.000, "vol_a3_per_cell": 58.3, "space_group": "P4/mmm, No. 123", "raw_formation_energy_ev_per_atom": 2.23, "lattice_angstrom": [[-3.5805, -0.1260, -1.3398], [-0.8022, -3.0573, 2.4313], [-1.1040, 2.4526, 2.7197]], "species": ["C", "C", "Ir", "Zn", "O"], "fractional_positions": [[0.5000, 0.0000, 0.0000], [0.0000, 0.0000, 0.5000], [0.0000, 0.5000, 0.0000], [0.5000, 0.5000, 0.5000], [0.0000, 0.0000, 0.0000]]}



[2]
{"formula": "SrTePt2", "functional": "GGA-PBE", "state": "optimized geometry", "relative_energy_mev_per_atom": 358, "magnetic_moment_mub_per_cell": 0.000, "vol_a3_per_cell": 87.7, "space_group": "I-4m2, No. 119", "raw_formation_energy_ev_per_atom": -0.34, "lattice_angstrom": [[5.6570, 0.0093, 0.0000], [2.4027, 5.1214, 0.0000], [-4.0299, -2.5654, 3.0300]], "species": ["Pt", "Pt", "Te", "Sr"], "fractional_positions": [[0.0000, 0.0000, 0.0000], [0.2500, 0.7500, 0.5000], [0.7500, 0.2500, 0.5000], [0.5000, 0.5000, 0.0000]]}



[3]
{"formula": "Sr2Bi2I", "functional": "GGA-PBE", "state": "optimized geometry", "relative_energy_mev_per_atom": 148, "magnetic_moment_mub_per_cell": 0.000, "vol_a3_per_cell": 215.0, "space_group": "I4/mmm, No. 139", "raw_formation_energy_ev_per_atom": -0.72, "lattice_angstrom": [[6.3881, 0.0000, 0.0000], [0.0000, 6.3881, 0.0000], [3.1940, 3.1940, 5.2680]], "species": ["Bi", "Bi", "Sr", "Sr", "I"], "fractional_positions": [[0.3611, 0.3611, 0.2778], [0.6389, 0.6389, 0.7222], [0.2500, 0.7500, 0.5000], [0.7500, 0.2500, 0.5000], [0.0000, 0.0000, 0.0000]]}



[4]
{"formula": "Pr2MnTl", "functional": "GGA-PBE", "state": "optimized geometry", "magnetic_moment_mub_per_cell": 3.097, "formation_energy_kj_per_mol_atoms": -1.8, "vol_a3_per_cell": 112.6, "space_group": "P4/mmm, No. 123", "lattice_angstrom": [[3.7628, 0.0000, 0.0000], [0.0000, 3.7628, 0.0000], [0.0000, 0.0000, 7.9525]], "species": ["Pr", "Pr", "Tl", "Mn"], "fractional_positions": [[0.0000, 0.0000, 0.7701], [0.0000, 0.0000, 0.2299], [0.5000, 0.5000, 0.5000], [0.5000, 0.5000, 0.0000]]}



[5]
{"formula": "ZnIn2NiBr", "functional": "GGA-PBE", "state": "optimized geometry", "magnetic_moment_mub_per_cell": 0.000, "vol_a3_per_cell": 121.7, "space_group": "P4/mmm, No. 123", "raw_formation_energy_ev_per_atom": -0.21, "lattice_angstrom": [[-1.9195, 0.0011, -4.6922], [-3.6600, -3.1727, 1.4965], [-2.7430, 3.6940, 1.1230]], "species": ["Br", "Ni", "In", "In", "Zn"], "fractional_positions": [[0.5000, 0.5000, 0.5000], [0.0000, 0.0000, 0.0000], [0.5000, 0.0000, 0.0000], [0.0000, 0.5000, 0.0000], [0.0000, 0.0000, 0.5000]]}



[6]
{"formula": "TlRh2Se", "functional": "GGA-PBE", "state": "optimized geometry", "magnetic_moment_mub_per_cell": 0.000, "vol_a3_per_cell": 78.5, "space_group": "C2/m, No. 12", "raw_formation_energy_ev_per_atom": 0.05, "lattice_angstrom": [[4.1397, -0.0121, 0.3309], [2.9934, 2.8594, 0.3309], [1.6879, 0.6738, 6.7715]], "species": ["Rh", "Rh", "Tl", "Se"], "fractional_positions": [[0.0207, 0.0207, 0.0737], [0.4793, 0.4793, 0.4263], [0.7500, 0.7500, 0.7500], [0.2500, 0.2500, 0.2500]]}



[7]
{"formula": "AgAu2I", "functional": "GGA-PBE", "state": "optimized geometry", "relative_energy_mev_per_atom": 164, "magnetic_moment_mub_per_cell": 0.000, "vol_a3_per_cell": 87.4, "space_group": "Fm-3m, No. 225", "raw_formation_energy_ev_per_atom": 0.41, "lattice_angstrom": [[1.0272, -2.8261, 3.9714], [2.1473, 2.0275, 4.0115], [-2.6115, 0.5679, 4.2037]], "species": ["Au", "Au", "I", "Ag"], "fractional_positions": [[0.2500, 0.2500, 0.2500], [0.7500, 0.7500, 0.7500], [0.5000, 0.5000, 0.5000], [0.0000, 0.0000, 0.0000]]}



[8]
{"formula": "Ta4Se5N", "functional": "GGA-PBE", "state": "optimized geometry", "magnetic_moment_mub_per_cell": 0.000, "vol_a3_per_cell": 199.5, "space_group": "C2/m, No. 12", "raw_formation_energy_ev_per_atom": -0.74, "lattice_angstrom": [[-2.8232, -0.1091, -2.0222], [3.5185, -4.1130, -4.6903], [-2.0145, -5.4405, 6.0907]], "species": ["Ta", "Ta", "Ta", "Ta", "Se", "Se", "Se", "Se", "Se", "N"], "fractional_positions": [[0.0014, 0.7992, 0.0028], [0.9986, 0.2008, 0.9972], [0.6273, 0.0651, 0.2547], [0.3727, 0.9349, 0.7453], [0.8396, 0.6597, 0.6791], [0.5000, 0.5000, 0.0000], [0.8324, 0.1683, 0.6648], [0.1604, 0.3403, 0.3209], [0.1676, 0.8317, 0.3352], [0.5000, 0.0000, 0.0000]]}